Entry 1:
Material: NaLaCr2I
Method: DFT, PBE-GGA
State: relaxed

abc: 4.889 4.889 8.826
angles: 90.00 90.00 90.00
Element x y z (fractional)
Na (0.000, 0.000, 0.000)
La (0.000, 0.000, 0.500)
Cr (0.000, 0.500, 0.500)
Cr (0.500, 0.000, 0.500)
I (0.500, 0.500, 0.000)

Energy relative to the elements, uncorrected = 6.35 eV/f.u.
Total moment = 6.65 μB per formula unit

---

Entry 2:
Material: PPb5
Method: DFT, PBE-GGA
State: relaxed

abc: 3.802 17.425 5.397
angles: 90.00 90.00 90.00
Element x y z (fractional)
P (0.000, 0.000, 0.000)
P (0.500, 0.500, 0.000)
Pb (0.000, 0.173, 0.500)
Pb (0.000, 0.369, 0.000)
Pb (0.000, 0.500, 0.500)
Pb (0.000, 0.631, 0.000)
Pb (0.000, 0.827, 0.500)
Pb (0.500, 0.000, 0.500)
Pb (0.500, 0.131, 0.000)
Pb (0.500, 0.327, 0.500)
Pb (0.500, 0.673, 0.500)
Pb (0.500, 0.869, 0.000)

Total moment = 0.00 μB per formula unit
Formation energy from the elements = 0.147 eV/atom

---

Entry 3:
Material: Sm12InCo5
Method: DFT, PBE-GGA
State: relaxed

abc: 8.479 8.479 8.479
angles: 110.58 110.02 107.82
Element x y z (fractional)
Sm (0.011, 0.202, 0.809)
Sm (0.186, 0.298, 0.484)
Sm (0.186, 0.702, 0.888)
Sm (0.315, 0.009, 0.694)
Sm (0.315, 0.621, 0.306)
Sm (0.393, 0.202, 0.191)
Sm (0.607, 0.798, 0.809)
Sm (0.685, 0.379, 0.694)
Sm (0.685, 0.991, 0.306)
Sm (0.814, 0.298, 0.112)
Sm (0.814, 0.702, 0.516)
Sm (0.989, 0.798, 0.191)
In (0.500, 0.500, 0.000)
Co (0.000, 0.000, 0.000)
Co (0.112, 0.612, 0.500)
Co (0.381, 0.000, 0.381)
Co (0.619, 0.000, 0.619)
Co (0.888, 0.388, 0.500)

Total moment = 0.00 μB per formula unit
Formation energy from the elements = -0.170 eV/atom

---

Entry 4:
Material: BaScHgC2
Method: DFT, PBE-GGA
State: relaxed

abc: 4.745 4.745 5.887
angles: 90.00 90.00 90.00
Element x y z (fractional)
Ba (0.000, 0.000, 0.000)
Sc (0.500, 0.500, 0.500)
Hg (0.000, 0.000, 0.500)
C (0.000, 0.500, 0.000)
C (0.500, 0.000, 0.000)

Total moment = 0.70 μB per formula unit
Formation energy from the elements = 2.292 eV/atom

---

- Among the records above, which one has the highest total moment?
  NaLaCr2I